Compound: GdLuTl2
Source: Alexandria
Functional: GGA-PBE
Structure: relaxed

Properties
ΔE to the lowest computed polymorph: 15 meV/atom
D(E_F): 0.648 states/eV/atom

Unit cell a=5.351 b=5.351 c=5.351 alpha=60.00 beta=60.00 gamma=60.00
Sites, in units of the cell vectors:
Tl 0.250 0.250 0.250
Tl 0.750 0.750 0.750
Gd 0.500 0.500 0.500
Lu 0.000 0.000 0.000



Compound: GdTmLuTl
Source: Alexandria
Functional: GGA-PBE
Structure: relaxed

Properties
D(E_F): 1.186 states/eV/atom

Unit cell a=5.420 b=5.420 c=5.420 alpha=60.00 beta=60.00 gamma=60.00
Sites, in units of the cell vectors:
Gd 0.250 0.250 0.250
Tl 0.000 0.000 0.000
Tm 0.750 0.750 0.750
Lu 0.500 0.500 0.500



Compound: Gd2TmLu
Source: Alexandria
Functional: GGA-PBE
Structure: relaxed

Properties
ΔE to the lowest computed polymorph: 1 meV/atom
D(E_F): 1.892 states/eV/atom

Unit cell a=4.949 b=4.998 c=4.998 alpha=90.00 beta=90.00 gamma=90.00
Sites, in units of the cell vectors:
Gd 0.000 0.500 0.000
Gd 0.000 0.000 0.500
Tm 0.500 0.000 0.000
Lu 0.500 0.500 0.500



Compound: GdTmLu
Source: Alexandria
Functional: GGA-PBE
Structure: relaxed

Properties
ΔE to the lowest computed polymorph: 0 meV/atom
D(E_F): 1.536 states/eV/atom

Unit cell a=3.512 b=3.512 c=7.843 alpha=102.94 beta=102.94 gamma=90.00
Sites, in units of the cell vectors:
Lu 0.665 0.665 0.329
Tm 0.002 0.002 0.005
Gd 0.333 0.333 0.666



Compound: GdTmLu
Source: Alexandria
Functional: GGA-PBE
Structure: relaxed

Properties
ΔE to the lowest computed polymorph: 41 meV/atom
D(E_F): 1.768 states/eV/atom

Unit cell a=3.429 b=5.554 c=5.554 alpha=120.00 beta=90.00 gamma=90.00
Sites, in units of the cell vectors:
Lu 0.168 0.667 0.333
Tm 0.667 0.333 0.667
Gd 0.166 0.000 0.000



Compound: Gd2TmLu
Source: Alexandria
Functional: GGA-PBE
Structure: relaxed

Properties
ΔE to the lowest computed polymorph: 2 meV/atom
D(E_F): 1.886 states/eV/atom

Unit cell a=3.535 b=3.535 c=9.904 alpha=90.00 beta=90.00 gamma=90.00
Sites, in units of the cell vectors:
Lu 0.500 0.500 0.000
Gd 0.000 0.000 0.249
Gd 0.000 0.000 0.751
Tm 0.500 0.500 0.500



no.,E_form (eV/atom)
1,-0.322
2,-0.050
3,0.034
4,0.031
5,0.071
6,0.035